# CoGeMoOs, optimized geometry, DFT PBE-GGA
data_CoGeMoOs
_cell_length_a 6.0782
_cell_length_b 6.0782
_cell_length_c 6.0782
_cell_angle_alpha 90.00
_cell_angle_beta 90.00
_cell_angle_gamma 90.00
_space_group_name_H-M_alt 'F -4 3 m'
_space_group_IT_number 216
_space_group_name_Hall 'F -4 2 3'
loop_
_atom_site_label
_atom_site_fract_x
_atom_site_fract_y
_atom_site_fract_z
_atom_site_occupancy
Co1 0.0000 0.0000 0.0000 1
Ge1 0.2500 0.2500 0.7500 1
Mo1 0.2500 0.2500 0.2500 1
Os1 0.0000 0.0000 0.5000 1
# Energy relative to the lowest polymorph listed for this composition, meV/atom: 0
# Volume, Å³ per atom: 14.0
# Electronic total energy, eV per atom: -8.280